NaPrInPb (GGA-PBE, relaxed); energy of formation from the pure elements = -0.356 eV/atom; crystal system = orthorhombic; VASP energy = -3.49 eV/atom; E above lowest polymorph = 0.000 eV/atom
1.0
4.634 0.000 0.000
0.000 4.877 0.000
0.000 0.000 5.013
Na Pr In Pb
1 1 1 1
Cartesian
0.000 0.000 0.000 Na
0.000 2.439 2.506 Pr
2.317 2.439 0.000 In
2.317 0.000 2.506 Pb

***

NaPrInPb (GGA-PBE, relaxed); energy of formation from the pure elements = -0.291 eV/atom; crystal system = cubic; VASP energy = -3.43 eV/atom; E above lowest polymorph = 0.065 eV/atom
1.0
7.748 0.000 0.000
0.000 7.748 0.000
0.000 0.000 7.748
Na Pr In Pb
4 4 4 4
Cartesian
0.000 0.000 0.000 Na
0.000 3.874 3.874 Na
3.874 0.000 3.874 Na
3.874 3.874 0.000 Na
0.000 0.000 3.874 Pr
0.000 3.874 0.000 Pr
3.874 0.000 0.000 Pr
3.874 3.874 3.874 Pr
1.937 1.937 1.937 In
1.937 5.811 5.811 In
5.811 1.937 5.811 In
5.811 5.811 1.937 In
1.937 1.937 5.811 Pb
1.937 5.811 1.937 Pb
5.811 1.937 1.937 Pb
5.811 5.811 5.811 Pb

***

NaPuInPb (GGA-PBE, relaxed); energy of formation from the pure elements = -0.093 eV/atom; crystal system = cubic; VASP energy = -5.62 eV/atom
1.0
7.633 0.000 0.000
0.000 7.633 0.000
0.000 0.000 7.633
Na Pu In Pb
4 4 4 4
Cartesian
0.000 0.000 0.000 Na
0.000 3.817 3.817 Na
3.817 0.000 3.817 Na
3.817 3.817 0.000 Na
0.000 0.000 3.817 Pu
0.000 3.817 0.000 Pu
3.817 0.000 0.000 Pu
3.817 3.817 3.817 Pu
1.908 1.908 1.908 In
1.908 5.725 5.725 In
5.725 1.908 5.725 In
5.725 5.725 1.908 In
1.908 1.908 5.725 Pb
1.908 5.725 1.908 Pb
5.725 1.908 1.908 Pb
5.725 5.725 5.725 Pb

***

RbNaInPb (GGA-PBE, relaxed); energy of formation from the pure elements = -0.075 eV/atom; crystal system = monoclinic; VASP energy = -2.26 eV/atom; E above lowest polymorph = 0.000 eV/atom
1.0
9.058 0.000 0.000
0.000 5.193 0.000
-3.038 0.000 6.956
Rb Na In Pb
2 2 2 2
Cartesian
0.000 0.000 0.000 Rb
4.529 2.596 0.000 Rb
1.510 2.596 2.798 Na
6.039 0.000 2.798 Na
-1.525 2.596 4.738 In
3.004 0.000 4.738 In
-0.004 0.000 3.958 Pb
4.525 2.596 3.958 Pb

***

Rb2NaIn3Pb4 (GGA-PBE, relaxed); energy of formation from the pure elements = -0.107 eV/atom; crystal system = tetragonal; VASP energy = -2.74 eV/atom
1.0
5.245 0.000 0.000
0.000 5.245 0.000
0.000 0.000 12.914
Rb Na In Pb
2 1 3 4
Cartesian
0.000 2.622 3.210 Rb
2.622 0.000 9.704 Rb
0.000 0.000 6.457 Na
0.000 2.622 11.173 In
2.622 0.000 1.741 In
2.622 2.622 6.457 In
0.000 0.000 0.000 Pb
0.000 2.622 8.192 Pb
2.622 0.000 4.722 Pb
2.622 2.622 0.000 Pb

***

RbNa2InPb (GGA-PBE, relaxed); energy of formation from the pure elements = 0.010 eV/atom; crystal system = tetragonal; VASP energy = -2.00 eV/atom; E above lowest polymorph = 0.021 eV/atom
1.0
6.017 0.000 0.000
0.000 6.017 0.000
0.000 0.000 5.921
Rb Na In Pb
1 2 1 1
Cartesian
0.000 0.000 0.000 Rb
0.000 3.009 2.961 Na
3.009 0.000 2.961 Na
3.009 3.009 2.961 In
3.009 3.009 0.000 Pb